The following is a PBE calculation of an optimized crystal structure of Fe3HW, from Alexandria via LeMat-Bulk.

The space group is C2/m (No. 12) and the conventional cell measures 8.325, 3.680 and 7.437 Å, with angles of 90.00, 116.06 and 90.00 degrees. The asymmetric unit holds Fe at (0.123, 0.000, 0.187), Fe at (0.128, 0.500, 0.448), Fe at (0.129, 0.000, 0.683), H at (0.123, 0.000, 0.432) and W at (0.117, 0.500, 0.919).

The calculation puts the size of the total moment at 4.32 μB per formula unit.


The following is a PBE calculation of an optimized crystal structure of ErGaSb, from Alexandria via LeMat-Bulk.

The space group is Pmmm (No. 47) and the conventional cell measures 4.160, 4.266 and 4.484 Å, with angles of 90.00, 90.00 and 90.00 degrees. The asymmetric unit holds Er at (0.000, 0.000, 0.000), Ga at (0.500, 0.000, 0.500) and Sb at (0.000, 0.500, 0.500).

For the formation energy without anion corrections, the calculation gives -0.48 eV/atom. The calculation puts the size of the total moment at 0.00 μB per formula unit.


The following is a PBE calculation of an optimized crystal structure of Pu2Al3PtAu12, from Alexandria via LeMat-Bulk.

The space group is R-3m (No. 166, hexagonal axes) and the conventional cell measures 9.7660, 9.7660 and 13.3633 Å, with angles of 90.00, 90.00 and 120.00 degrees. The asymmetric unit holds Pu at (0.0000, 0.0000, 0.1340), Al at (0.0000, 0.5000, 0.0000), Pt at (0.0000, 0.0000, 0.5000), Au at (0.0082, 0.5041, 0.1909) and Au at (0.0357, 0.5178, 0.3948).

The calculation puts the size of the total moment at 11.33 μB per formula unit.


Summary of energy in Ry/atom
-0.6036, -0.3220, -0.3534
(order as listed above)